# 1
Below is a relaxed InTcF crystal, with properties calculated at the GGA-PBE level.

Computed properties:
Density of states at the Fermi level (states/eV/f.u.): 2.3
ΔE to the lowest computed polymorph (meV/atom): 344.7
Energy relative to the elements, uncorrected (meV/atom): -377.8
VASP energy (eV/cell): -32.2

a b c (Å): 2.914 3.551 10.931
angles (deg): 90.00 90.00 90.00
Atoms (fractional coordinates):
In: 0.000 0.000 0.000
In: 0.000 0.500 0.500
Tc: 0.500 0.000 0.363
Tc: 0.500 0.500 0.863
F: 0.000 0.000 0.217
F: 0.000 0.500 0.717


# 2
Below is a relaxed InTcF crystal, with properties calculated at the GGA-PBE level.

Computed properties:
Density of states at the Fermi level (states/eV/f.u.): 1.5
ΔE to the lowest computed polymorph (meV/atom): 0.0
Energy relative to the elements, uncorrected (meV/atom): -722.5
VASP energy (eV/cell): -68.6

a b c (Å): 10.294 3.113 7.479
angles (deg): 90.00 107.70 90.00
Atoms (fractional coordinates):
In: 0.000 0.000 0.000
In: 0.168 0.000 0.634
In: 0.500 0.500 0.000
In: 0.668 0.500 0.634
Tc: 0.223 0.500 0.964
Tc: 0.340 0.000 0.197
Tc: 0.723 0.000 0.964
Tc: 0.840 0.500 0.197
F: 0.046 0.500 0.419
F: 0.297 0.000 0.449
F: 0.546 0.000 0.419
F: 0.797 0.500 0.449


# 3
Below is a relaxed In2TcF crystal, with properties calculated at the GGA-PBE level.

Computed properties:
Density of states at the Fermi level (states/eV/f.u.): 2.0
ΔE to the lowest computed polymorph (meV/atom): 0.0
Energy relative to the elements, uncorrected (meV/atom): -186.4
VASP energy (eV/cell): -73.8

a b c (Å): 6.836 6.836 6.464
angles (deg): 90.00 90.00 90.00
Atoms (fractional coordinates):
In: 0.210 0.750 0.125
In: 0.250 0.210 0.875
In: 0.250 0.290 0.375
In: 0.290 0.750 0.625
In: 0.710 0.250 0.625
In: 0.750 0.710 0.375
In: 0.750 0.790 0.875
In: 0.790 0.250 0.125
Tc: 0.000 0.000 0.500
Tc: 0.000 0.500 0.750
Tc: 0.500 0.000 0.250
Tc: 0.500 0.500 0.000
F: 0.000 0.000 0.000
F: 0.000 0.500 0.250
F: 0.500 0.000 0.750
F: 0.500 0.500 0.500


# 4
Below is a relaxed InTc3F crystal, with properties calculated at the GGA-PBE level.

Computed properties:
Density of states at the Fermi level (states/eV/f.u.): 7.7
ΔE to the lowest computed polymorph (meV/atom): 1425.6
Energy relative to the elements, uncorrected (meV/atom): 2205.5
VASP energy (eV/cell): -24.7

a b c (Å): 5.187 5.187 5.187
angles (deg): 90.00 90.00 90.00
Atoms (fractional coordinates):
In: 0.000 0.000 0.000
Tc: 0.000 0.000 0.500
Tc: 0.000 0.500 0.000
Tc: 0.500 0.000 0.000
F: 0.500 0.500 0.500


# 5
Below is a relaxed InTcF crystal, with properties calculated at the GGA-PBE level.

Computed properties:
Density of states at the Fermi level (states/eV/f.u.): 1.3
ΔE to the lowest computed polymorph (meV/atom): 80.6
Energy relative to the elements, uncorrected (meV/atom): -641.9
VASP energy (eV/cell): -33.8

a b c (Å): 5.027 2.944 7.041
angles (deg): 90.00 95.04 90.00
Atoms (fractional coordinates):
In: 0.000 0.000 0.000
In: 0.225 0.000 0.545
Tc: 0.675 0.500 0.692
Tc: 0.784 0.500 0.396
F: 0.367 0.500 0.913
F: 0.533 0.000 0.251


# 6
Below is a relaxed InTc2F crystal, with properties calculated at the GGA-PBE level.

Computed properties:
Density of states at the Fermi level (states/eV/f.u.): 3.5
ΔE to the lowest computed polymorph (meV/atom): 552.7
Energy relative to the elements, uncorrected (meV/atom): 594.8
VASP energy (eV/cell): -91.9

a b c (Å): 6.374 6.374 6.374
angles (deg): 90.00 90.00 90.00
Atoms (fractional coordinates):
In: 0.000 0.000 0.000
In: 0.000 0.500 0.500
In: 0.500 0.000 0.500
In: 0.500 0.500 0.000
Tc: 0.250 0.250 0.250
Tc: 0.250 0.250 0.750
Tc: 0.250 0.750 0.250
Tc: 0.250 0.750 0.750
Tc: 0.750 0.250 0.250
Tc: 0.750 0.250 0.750
Tc: 0.750 0.750 0.250
Tc: 0.750 0.750 0.750
F: 0.000 0.000 0.500
F: 0.000 0.500 0.000
F: 0.500 0.000 0.000
F: 0.500 0.500 0.500


# 7
Below is a relaxed InTcF crystal, with properties calculated at the GGA-PBE level.

Computed properties:
Density of states at the Fermi level (states/eV/f.u.): 0.9
ΔE to the lowest computed polymorph (meV/atom): 40.1
Energy relative to the elements, uncorrected (meV/atom): -682.4
VASP energy (eV/cell): -34.0

a b c (Å): 3.101 5.505 6.523
angles (deg): 74.62 80.58 76.74
Atoms (fractional coordinates):
In: 0.000 0.000 0.000
In: 0.410 0.581 0.637
Tc: 0.199 0.348 0.323
Tc: 0.709 0.520 0.055
F: 0.262 0.963 0.359
F: 0.354 0.136 0.659


# 8
Below is a relaxed InTc2F crystal, with properties calculated at the GGA-PBE level.

Computed properties:
Density of states at the Fermi level (states/eV/f.u.): 3.6
ΔE to the lowest computed polymorph (meV/atom): 0.0
Energy relative to the elements, uncorrected (meV/atom): 42.0
VASP energy (eV/cell): -100.7

a b c (Å): 3.522 3.522 21.485
angles (deg): 90.00 90.00 90.00
Atoms (fractional coordinates):
In: 0.000 0.000 0.000
In: 0.000 0.500 0.250
In: 0.500 0.000 0.750
In: 0.500 0.500 0.500
Tc: 0.249 0.750 0.625
Tc: 0.250 0.249 0.375
Tc: 0.250 0.251 0.875
Tc: 0.251 0.750 0.125
Tc: 0.749 0.250 0.125
Tc: 0.750 0.749 0.875
Tc: 0.750 0.751 0.375
Tc: 0.751 0.250 0.625
F: 0.000 0.000 0.500
F: 0.000 0.500 0.750
F: 0.500 0.000 0.250
F: 0.500 0.500 0.000


# 9
Below is a relaxed InTcF2 crystal, with properties calculated at the GGA-PBE level.

Computed properties:
Density of states at the Fermi level (states/eV/f.u.): 2.0
ΔE to the lowest computed polymorph (meV/atom): 0.0
Energy relative to the elements, uncorrected (meV/atom): -1020.5
VASP energy (eV/cell): -62.8

a b c (Å): 2.859 2.859 24.895
angles (deg): 90.00 90.00 120.00
Atoms (fractional coordinates):
In: 0.000 0.000 0.000
In: 0.333 0.667 0.667
In: 0.667 0.333 0.333
Tc: 0.000 0.000 0.500
Tc: 0.333 0.667 0.167
Tc: 0.667 0.333 0.833
F: 0.000 0.000 0.420
F: 0.000 0.000 0.580
F: 0.333 0.667 0.087
F: 0.333 0.667 0.247
F: 0.667 0.333 0.753
F: 0.667 0.333 0.913


# 10
Below is a relaxed InTcF2 crystal, with properties calculated at the GGA-PBE level.

Computed properties:
Density of states at the Fermi level (states/eV/f.u.): 1.8
ΔE to the lowest computed polymorph (meV/atom): 294.9
Energy relative to the elements, uncorrected (meV/atom): -725.7
VASP energy (eV/cell): -79.0

a b c (Å): 4.026 4.026 15.599
angles (deg): 90.00 90.00 90.00
Atoms (fractional coordinates):
In: 0.000 0.000 0.000
In: 0.000 0.500 0.250
In: 0.500 0.000 0.750
In: 0.500 0.500 0.500
Tc: 0.000 0.000 0.500
Tc: 0.000 0.500 0.750
Tc: 0.500 0.000 0.250
Tc: 0.500 0.500 0.000
F: 0.195 0.250 0.625
F: 0.250 0.695 0.875
F: 0.250 0.805 0.375
F: 0.305 0.250 0.125
F: 0.695 0.750 0.125
F: 0.750 0.195 0.375
F: 0.750 0.305 0.875
F: 0.805 0.750 0.625


# 11
Below is a relaxed InTc3F crystal, with properties calculated at the GGA-PBE level.

Computed properties:
Density of states at the Fermi level (states/eV/f.u.): 5.6
ΔE to the lowest computed polymorph (meV/atom): 0.0
Energy relative to the elements, uncorrected (meV/atom): 780.0
VASP energy (eV/cell): -31.8

a b c (Å): 4.266 4.266 4.266
angles (deg): 90.00 90.00 90.00
Atoms (fractional coordinates):
In: 0.000 0.000 0.000
Tc: 0.000 0.500 0.500
Tc: 0.500 0.000 0.500
Tc: 0.500 0.500 0.000
F: 0.500 0.500 0.500


# 12
Below is a relaxed InTcF3 crystal, with properties calculated at the GGA-PBE level.

Computed properties:
Density of states at the Fermi level (states/eV/f.u.): 3.6
ΔE to the lowest computed polymorph (meV/atom): 0.0
Energy relative to the elements, uncorrected (meV/atom): -1258.3
VASP energy (eV/cell): -25.0

a b c (Å): 4.422 4.422 4.422
angles (deg): 90.00 90.00 90.00
Atoms (fractional coordinates):
In: 0.000 0.000 0.000
Tc: 0.500 0.500 0.500
F: 0.000 0.500 0.500
F: 0.500 0.000 0.500
F: 0.500 0.500 0.000


# 13
Below is a relaxed InTcF2 crystal, with properties calculated at the GGA-PBE level.

Computed properties:
Density of states at the Fermi level (states/eV/f.u.): 3.2
ΔE to the lowest computed polymorph (meV/atom): 363.8
Energy relative to the elements, uncorrected (meV/atom): -656.8
VASP energy (eV/cell): -58.4

a b c (Å): 2.826 2.826 25.014
angles (deg): 90.00 90.00 120.00
Atoms (fractional coordinates):
In: 0.000 0.000 0.000
In: 0.333 0.667 0.667
In: 0.667 0.333 0.333
Tc: 0.000 0.000 0.500
Tc: 0.333 0.667 0.167
Tc: 0.667 0.333 0.833
F: 0.000 0.000 0.092
F: 0.000 0.000 0.908
F: 0.333 0.667 0.575
F: 0.333 0.667 0.758
F: 0.667 0.333 0.242
F: 0.667 0.333 0.425


# 14
Below is a relaxed InTcF crystal, with properties calculated at the GGA-PBE level.

Computed properties:
Density of states at the Fermi level (states/eV/f.u.): 1.4
ΔE to the lowest computed polymorph (meV/atom): 65.4
Energy relative to the elements, uncorrected (meV/atom): -657.1
VASP energy (eV/cell): -33.9

a b c (Å): 2.887 5.117 6.863
angles (deg): 100.45 90.17 90.09
Atoms (fractional coordinates):
In: 0.000 0.000 0.000
In: 0.000 0.429 0.640
Tc: 0.499 0.734 0.277
Tc: 0.500 0.927 0.589
F: 0.492 0.506 0.945
F: 0.998 0.420 0.256


# 15
Below is a relaxed InTcF crystal, with properties calculated at the GGA-PBE level.

Computed properties:
Density of states at the Fermi level (states/eV/f.u.): 0.7
ΔE to the lowest computed polymorph (meV/atom): 56.9
Energy relative to the elements, uncorrected (meV/atom): -665.6
VASP energy (eV/cell): -33.9

a b c (Å): 3.406 5.221 6.640
angles (deg): 83.60 89.79 89.66
Atoms (fractional coordinates):
In: 0.000 0.000 0.000
In: 0.006 0.716 0.548
Tc: 0.004 0.451 0.188
Tc: 0.504 0.570 0.960
F: 0.012 0.151 0.419
F: 0.508 0.345 0.729


# 16
Below is a relaxed InTcF crystal, with properties calculated at the GGA-PBE level.

Computed properties:
Density of states at the Fermi level (states/eV/f.u.): 1.8
ΔE to the lowest computed polymorph (meV/atom): 11.7
Energy relative to the elements, uncorrected (meV/atom): -710.8
VASP energy (eV/cell): -68.4

a b c (Å): 15.400 3.069 4.848
angles (deg): 90.00 106.74 90.00
Atoms (fractional coordinates):
In: 0.000 0.000 0.000
In: 0.181 0.000 0.685
In: 0.500 0.500 0.000
In: 0.681 0.500 0.685
Tc: 0.162 0.500 0.161
Tc: 0.288 0.000 0.307
Tc: 0.662 0.000 0.161
Tc: 0.788 0.500 0.307
F: 0.382 0.500 0.176
F: 0.407 0.000 0.668
F: 0.882 0.000 0.176
F: 0.907 0.500 0.668


# 17
Below is a relaxed In2TeF crystal, with properties calculated at the GGA-PBE level.

Computed properties:
Density of states at the Fermi level (states/eV/f.u.): 2.1
ΔE to the lowest computed polymorph (meV/atom): 100.7
Energy relative to the elements, uncorrected (meV/atom): -747.5
VASP energy (eV/cell): -53.9

a b c (Å): 7.347 7.347 7.347
angles (deg): 90.00 90.00 90.00
Atoms (fractional coordinates):
In: 0.250 0.250 0.250
In: 0.250 0.250 0.750
In: 0.250 0.750 0.250
In: 0.250 0.750 0.750
In: 0.750 0.250 0.250
In: 0.750 0.250 0.750
In: 0.750 0.750 0.250
In: 0.750 0.750 0.750
Te: 0.000 0.000 0.000
Te: 0.000 0.500 0.500
Te: 0.500 0.000 0.500
Te: 0.500 0.500 0.000
F: 0.000 0.000 0.500
F: 0.000 0.500 0.000
F: 0.500 0.000 0.000
F: 0.500 0.500 0.500


# 18
Below is a relaxed In2TeF crystal, with properties calculated at the GGA-PBE level.

Computed properties:
Density of states at the Fermi level (states/eV/f.u.): 1.2
ΔE to the lowest computed polymorph (meV/atom): 26.5
Energy relative to the elements, uncorrected (meV/atom): -821.8
VASP energy (eV/cell): -55.1

a b c (Å): 5.355 5.355 15.821
angles (deg): 90.00 90.00 90.00
Atoms (fractional coordinates):
In: 0.146 0.250 0.125
In: 0.250 0.646 0.375
In: 0.250 0.854 0.875
In: 0.354 0.250 0.625
In: 0.646 0.750 0.625
In: 0.750 0.146 0.875
In: 0.750 0.354 0.375
In: 0.854 0.750 0.125
Te: 0.000 0.000 0.500
Te: 0.000 0.500 0.750
Te: 0.500 0.000 0.250
Te: 0.500 0.500 0.000
F: 0.000 0.000 0.000
F: 0.000 0.500 0.250
F: 0.500 0.000 0.750
F: 0.500 0.500 0.500


# 19
Below is a relaxed InTeF crystal, with properties calculated at the GGA-PBE level.

Computed properties:
Density of states at the Fermi level (states/eV/f.u.): 0.5
ΔE to the lowest computed polymorph (meV/atom): 192.4
Energy relative to the elements, uncorrected (meV/atom): -1066.3
VASP energy (eV/cell): -21.9

a b c (Å): 3.395 6.079 8.081
angles (deg): 93.07 97.73 90.12
Atoms (fractional coordinates):
In: 0.054 0.263 0.175
In: 0.946 0.737 0.825
Te: 0.012 0.764 0.202
Te: 0.988 0.236 0.798
F: 0.396 0.727 0.655
F: 0.604 0.273 0.345


# 20
Below is a relaxed In3TeF crystal, with properties calculated at the GGA-PBE level.

Computed properties:
Density of states at the Fermi level (states/eV/f.u.): 0.0
ΔE to the lowest computed polymorph (meV/atom): 0.0
Energy relative to the elements, uncorrected (meV/atom): -657.9
VASP energy (eV/cell): -16.5

a b c (Å): 5.220 5.220 5.220
angles (deg): 90.00 90.00 90.00
Atoms (fractional coordinates):
In: 0.000 0.000 0.500
In: 0.000 0.500 0.000
In: 0.500 0.000 0.000
Te: 0.500 0.500 0.500
F: 0.000 0.000 0.000